{
  "formula": "BaLiPb6",
  "functional": "PBE",
  "state": "optimized geometry",
  "cell": [[4.965, 0.000, 0.000], [0.000, 4.965, 0.000], [0.000, 0.000, 10.875]],
  "species": ["Pb", "Pb", "Pb", "Pb", "Pb", "Pb", "Li", "Ba"],
  "fractional_positions": [[0.500, 0.000, 0.664], [0.500, 0.000, 0.336], [0.000, 0.500, 0.336], [0.500, 0.500, 0.854], [0.500, 0.500, 0.146], [0.000, 0.500, 0.664], [0.000, 0.000, 0.500], [0.000, 0.000, 0.000]],
  "e_tot_ha_per_atom": -0.1277,
  "magmom_total_mub_per_cell": 0.000
}



{
  "formula": "Ho2GaCu7",
  "functional": "PBE",
  "state": "optimized geometry",
  "cell": [[-2.385, -0.427, -2.951], [1.697, -3.302, -0.894], [-7.125, -5.433, 6.545]],
  "species": ["Cu", "Cu", "Cu", "Cu", "Cu", "Cu", "Cu", "Ho", "Ho", "Ga"],
  "fractional_positions": [[0.500, 0.000, 0.362], [0.000, 0.500, 0.854], [0.000, 0.000, 0.500], [0.000, 0.000, 0.000], [0.000, 0.500, 0.638], [0.500, 0.500, 0.500], [0.500, 0.000, 0.146], [0.500, 0.000, 0.746], [0.000, 0.500, 0.254], [0.500, 0.500, 0.000]],
  "e_tot_ha_per_atom": -0.1575,
  "magmom_total_mub_per_cell": 0.000
}



{
  "formula": "Ca2Co2As",
  "functional": "PBE",
  "state": "optimized geometry",
  "cell": [[6.497, 0.000, 0.000], [0.000, 6.497, 0.000], [0.000, 0.000, 4.462]],
  "species": ["Co", "Co", "Co", "Co", "Ca", "Ca", "Ca", "Ca", "As", "As"],
  "fractional_positions": [[0.375, 0.875, 0.000], [0.125, 0.375, 0.000], [0.625, 0.125, 0.000], [0.875, 0.625, 0.000], [0.680, 0.820, 0.500], [0.320, 0.180, 0.500], [0.180, 0.680, 0.500], [0.820, 0.320, 0.500], [0.500, 0.500, 0.000], [0.000, 0.000, 0.000]],
  "e_tot_ha_per_atom": -0.1733,
  "magmom_total_mub_per_cell": 4.353
}



{
  "formula": "LaScH",
  "functional": "PBE",
  "state": "optimized geometry",
  "cell": [[-2.055, 2.579, 0.963], [-0.859, -1.974, -2.678], [-2.873, -3.632, 3.599]],
  "species": ["Sc", "H", "La"],
  "fractional_positions": [[0.333, 0.667, 0.559], [0.667, 0.333, 0.369], [0.000, 0.000, 0.072]],
  "e_tot_ha_per_atom": -0.1849,
  "magmom_total_mub_per_cell": 0.000
}